# NdSc5Rh4, relaxed, DFT PBE
data_NdSc5Rh4
_chemical_formula_sum 'Nd1 Sc5 Rh4'
_symmetry_space_group_name_H-M 'P 1'
_symmetry_Int_Tables_number 1
_symmetry_space_group_name_Hall 'P 1'
_cell_length_a 3.243
_cell_length_b 3.243
_cell_length_c 18.272
_cell_angle_alpha 90.00
_cell_angle_beta 90.00
_cell_angle_gamma 90.00
loop_
_atom_site_label
_atom_site_type_symbol
_atom_site_fract_x
_atom_site_fract_y
_atom_site_fract_z
Rh1 Rh 0.000 0.000 0.768
Sc1 Sc 0.500 0.500 0.148
Sc2 Sc 0.500 0.500 0.323
Nd1 Nd 0.000 0.000 0.000
Sc3 Sc 0.500 0.500 0.852
Sc4 Sc 0.500 0.500 0.677
Rh2 Rh 0.000 0.000 0.411
Rh3 Rh 0.000 0.000 0.232
Sc5 Sc 0.500 0.500 0.500
Rh4 Rh 0.000 0.000 0.589
# E_tot = -73.9 eV per cell
# V = 192 Å³/cell